Entry 1:
# MnGaPt GGA-PBEsol relaxed
data_MnGaPt
_chemical_formula_sum 'Mn4 Ga4 Pt4'
_symmetry_space_group_name_H-M 'F -4 3 m'
_symmetry_Int_Tables_number 216
_symmetry_space_group_name_Hall 'F -4 2 3'
_cell_length_a 5.7424
_cell_length_b 5.7424
_cell_length_c 5.7424
_cell_angle_alpha 90.00
_cell_angle_beta 90.00
_cell_angle_gamma 90.00
loop_
_atom_site_label
_atom_site_type_symbol
_atom_site_fract_x
_atom_site_fract_y
_atom_site_fract_z
Mn1 Mn 0.0000 0.0000 0.0000
Ga1 Ga 0.2500 0.2500 0.2500
Pt1 Pt 0.0000 0.0000 0.5000
# - ΔE_f: -92 meV/atom
# - Final energy: -6.7801 eV per atom
# - Crystal system: cubic

---

Entry 2:
# KCaMo4 GGA-PBEsol relaxed
data_KCaMo4
_chemical_formula_sum 'K4 Ca4 Mo16'
_symmetry_space_group_name_H-M 'F -4 3 m'
_symmetry_Int_Tables_number 216
_symmetry_space_group_name_Hall 'F -4 2 3'
_cell_length_a 7.7923
_cell_length_b 7.7923
_cell_length_c 7.7923
_cell_angle_alpha 90.00
_cell_angle_beta 90.00
_cell_angle_gamma 90.00
loop_
_atom_site_label
_atom_site_type_symbol
_atom_site_fract_x
_atom_site_fract_y
_atom_site_fract_z
K1 K 0.0000 0.0000 0.0000
Ca1 Ca 0.2500 0.2500 0.7500
Mo1 Mo 0.1261 0.1261 0.3739
# - ΔE_f: 1079 meV/atom
# - Final energy: -7.3107 eV per atom
# - Crystal system: cubic

---

Entry 3:
# KLi2Mn GGA-PBEsol relaxed
data_KLi2Mn
_chemical_formula_sum 'K2 Li4 Mn2'
_symmetry_space_group_name_H-M 'C m m m'
_symmetry_Int_Tables_number 65
_symmetry_space_group_name_Hall '-C 2 2'
_cell_length_a 7.5993
_cell_length_b 7.8789
_cell_length_c 3.1994
_cell_angle_alpha 90.00
_cell_angle_beta 90.00
_cell_angle_gamma 90.00
loop_
_atom_site_label
_atom_site_type_symbol
_atom_site_fract_x
_atom_site_fract_y
_atom_site_fract_z
K1 K 0.0000 0.0000 0.0000
Li1 Li 0.2500 0.2500 0.5000
Mn1 Mn 0.0000 0.5000 0.0000
# - ΔE_f: 695 meV/atom
# - Energy relative to the lowest polymorph listed for this composition: 92 meV/atom
# - Final energy: -3.0120 eV per atom
# - Crystal system: orthorhombic